Record 1
# Hf2CdCuIr (GGA-PBEsol, relaxed)
# - energy of formation (eV per formula unit) = 2.78
data_Hf2CdCuIr
_space_group_name_H-M_alt 'P 4/m m m'
_space_group_IT_number 123
_space_group_name_Hall '-P 4 2'
_cell_length_a 4.695
_cell_length_b 4.695
_cell_length_c 4.526
_cell_angle_alpha 90.00
_cell_angle_beta 90.00
_cell_angle_gamma 90.00
loop_
_atom_site_label
_atom_site_type_symbol
_atom_site_fract_x
_atom_site_fract_y
_atom_site_fract_z
Hf1 Hf 0.000 0.500 0.000
Cd1 Cd 0.000 0.000 0.500
Cu1 Cu 0.500 0.500 0.000
Ir1 Ir 0.500 0.500 0.500

***

Record 2
# CoAsOs (GGA-PBEsol, relaxed)
# - energy of formation (eV per formula unit) = 0.87
data_CoAsOs
_space_group_name_H-M_alt 'I 4 m m'
_space_group_IT_number 107
_space_group_name_Hall 'I 4 -2'
_cell_length_a 2.952
_cell_length_b 2.952
_cell_length_c 8.971
_cell_angle_alpha 90.00
_cell_angle_beta 90.00
_cell_angle_gamma 90.00
loop_
_atom_site_label
_atom_site_type_symbol
_atom_site_fract_x
_atom_site_fract_y
_atom_site_fract_z
Co1 Co 0.000 0.000 0.000
As1 As 0.000 0.000 0.348
Os1 Os 0.000 0.000 0.686

***

Record 3
# Co3TcO (GGA-PBEsol, relaxed)
# - VASP energy (eV for the cell shown) = -29.5
data_Co3TcO
_space_group_name_H-M_alt 'P m -3 m'
_space_group_IT_number 221
_space_group_name_Hall '-P 4 2 3'
_cell_length_a 4.317
_cell_length_b 4.317
_cell_length_c 4.317
_cell_angle_alpha 90.00
_cell_angle_beta 90.00
_cell_angle_gamma 90.00
loop_
_atom_site_label
_atom_site_type_symbol
_atom_site_fract_x
_atom_site_fract_y
_atom_site_fract_z
Co1 Co 0.000 0.000 0.500
Tc1 Tc 0.000 0.000 0.000
O1 O 0.500 0.500 0.500

***

Record 4
# KIr3Pd (GGA-PBEsol, relaxed)
# - energy of formation (eV per formula unit) = 9.85
data_KIr3Pd
_space_group_name_H-M_alt 'P m -3 m'
_space_group_IT_number 221
_space_group_name_Hall '-P 4 2 3'
_cell_length_a 4.801
_cell_length_b 4.801
_cell_length_c 4.801
_cell_angle_alpha 90.00
_cell_angle_beta 90.00
_cell_angle_gamma 90.00
loop_
_atom_site_label
_atom_site_type_symbol
_atom_site_fract_x
_atom_site_fract_y
_atom_site_fract_z
K1 K 0.000 0.000 0.000
Ir1 Ir 0.000 0.500 0.500
Pd1 Pd 0.500 0.500 0.500

***

Record 5
# Cs2YAgF6 (GGA-PBEsol, relaxed)
# - VASP energy (eV for the cell shown) = -212.9
data_Cs2YAgF6
_space_group_name_H-M_alt 'F m -3 m'
_space_group_IT_number 225
_space_group_name_Hall '-F 4 2 3'
_cell_length_a 9.151
_cell_length_b 9.151
_cell_length_c 9.151
_cell_angle_alpha 90.00
_cell_angle_beta 90.00
_cell_angle_gamma 90.00
loop_
_atom_site_label
_atom_site_type_symbol
_atom_site_fract_x
_atom_site_fract_y
_atom_site_fract_z
Cs1 Cs 0.250 0.250 0.250
Y1 Y 0.000 0.000 0.000
Ag1 Ag 0.000 0.000 0.500
F1 F 0.000 0.000 0.235

***

Record 6
# SrZrOs2 (GGA-PBEsol, relaxed)
# - energy of formation (eV per formula unit) = 1.52
data_SrZrOs2
_space_group_name_H-M_alt 'P 4 m m'
_space_group_IT_number 99
_space_group_name_Hall 'P 4 -2'
_cell_length_a 2.911
_cell_length_b 2.911
_cell_length_c 9.416
_cell_angle_alpha 90.00
_cell_angle_beta 90.00
_cell_angle_gamma 90.00
loop_
_atom_site_label
_atom_site_type_symbol
_atom_site_fract_x
_atom_site_fract_y
_atom_site_fract_z
Sr1 Sr 0.000 0.000 0.000
Zr1 Zr 0.500 0.500 0.354
Os1 Os 0.000 0.000 0.576
Os2 Os 0.500 0.500 0.744